Computed, not measured: a relaxed LaTcIr2 crystal at the PBE-GGA level of DFT.

Summary:
- Formation energy: 209.7 meV per atom
- V: 143.6 Å³ per cell

Cell: 4.1727 4.1727 8.2491 Å, 90.00 90.00 90.00°
With the nearest neighbours (Å) after each atom.
Space group I-4m2 (No. 119)
Unique sites:
La  0.0000  0.0000  0.0000 [2 per cell]  4 Tc 2.93, 8 Ir 2.93-2.95
Tc  0.0000  0.5000  0.7500 [2 per cell]  4 La 2.93, 8 Ir 2.93-2.95
Ir  0.0000  0.0000  0.5000 [2 per cell]  4 Tc 2.93, 4 Ir 2.93, 4 La 2.95
Ir  0.0000  0.5000  0.2500 [2 per cell]  4 La 2.93, 4 Ir 2.93, 4 Tc 2.95